# VGaSe2Br GGA-PBE relaxed
data_VGaSe2Br
_space_group_name_H-M_alt 'P 4/m m m'
_space_group_IT_number 123
_space_group_name_Hall '-P 4 2'
_cell_length_a 5.0002
_cell_length_b 5.0002
_cell_length_c 5.0334
_cell_angle_alpha 90.00
_cell_angle_beta 90.00
_cell_angle_gamma 90.00
loop_
_atom_site_label
_atom_site_fract_x
_atom_site_fract_y
_atom_site_fract_z
V1 0.0000 0.0000 0.0000
Ga1 0.5000 0.5000 0.5000
Se1 0.0000 0.5000 0.5000
Br1 0.5000 0.5000 0.0000
# Polymorph energy (0 for the lowest one)   313 kJ/mol of formula units
# Energy relative to the elements, uncorrected   0.3623 eV per atom
# Volume   126 Å³/cell

# LiTcF4 GGA-PBE relaxed
data_LiTcF4
_space_group_name_H-M_alt 'I -4'
_space_group_IT_number 82
_cell_length_a 5.7103
_cell_length_b 5.7103
_cell_length_c 5.1938
_cell_angle_alpha 90.00
_cell_angle_beta 90.00
_cell_angle_gamma 90.00
loop_
_space_group_symop_operation_xyz
'x,y,z'
'y,-x,-z'
'-x,-y,z'
'-y,x,-z'
'x+1/2,y+1/2,z+1/2'
'y+1/2,-x+1/2,-z+1/2'
'-x+1/2,-y+1/2,z+1/2'
'-y+1/2,x+1/2,-z+1/2'
loop_
_atom_site_label
_atom_site_fract_x
_atom_site_fract_y
_atom_site_fract_z
Li1 0.0000 0.0000 0.0000
Tc1 0.0000 0.5000 0.7500
F1 0.1654 0.1983 0.7763
# Energy relative to the elements, uncorrected   -2.0975 eV per atom
# Volume   169 Å³/cell

# RbAc2TcO8 GGA-PBE relaxed
data_RbAc2TcO8
_space_group_name_H-M_alt 'P -1'
_space_group_IT_number 2
_cell_length_a 4.5304
_cell_length_b 5.4413
_cell_length_c 8.1286
_cell_angle_alpha 89.58
_cell_angle_beta 75.66
_cell_angle_gamma 88.92
loop_
_space_group_symop_operation_xyz
'x,y,z'
'-x,-y,-z'
loop_
_atom_site_label
_atom_site_fract_x
_atom_site_fract_y
_atom_site_fract_z
Rb1 0.0000 0.0000 0.0000
Ac1 0.3752 0.5000 0.3046
Tc1 0.0000 0.0000 0.5000
O1 0.1672 0.2746 0.6009
O2 0.1859 0.7554 0.6137
O3 0.3314 0.9937 0.3114
O4 0.4717 0.3631 0.0016
# Energy relative to the elements, uncorrected   -2.0934 eV per atom
# Volume   194 Å³/cell

# Tb3Dy5Ho2 GGA-PBE relaxed
data_Tb3Dy5Ho2
_space_group_name_H-M_alt 'I b a m'
_space_group_IT_number 72
_space_group_name_Hall '-I 2 2c'
_cell_length_a 12.0845
_cell_length_b 16.9391
_cell_length_c 6.3003
_cell_angle_alpha 90.00
_cell_angle_beta 90.00
_cell_angle_gamma 90.00
loop_
_atom_site_label
_atom_site_fract_x
_atom_site_fract_y
_atom_site_fract_z
Tb1 0.0000 0.0000 0.2500
Tb2 0.0867 0.3333 0.0000
Dy1 0.0000 0.5000 0.2500
Dy2 0.2466 0.1732 0.0000
Dy3 0.2502 0.0000 0.2500
Ho1 0.0890 0.1669 0.5000
# Polymorph energy (0 for the lowest one)   99 kJ/mol of formula units
# Volume   1290 Å³/cell
# Formation enthalpy at 0 K   306 meV per atom